# 1
Y2SnRuRh: relaxed, GGA-PBE.

Values from the calculation:
Total DFT energy (no corrections) = -5.804 eV/atom
Crystal system = tetragonal
Calculated formation energy = 438 kJ/mol of formula units

a = 5.6164 Å, b = 5.6164 Å, c = 4.7346 Å
α = 90.00°, β = 90.00°, γ = 90.00°
Fractional positions:
Y  0.0000  0.5000  0.0000
Y  0.5000  0.0000  0.0000
Sn  0.0000  0.0000  0.0000
Ru  0.5000  0.5000  0.5000
Rh  0.0000  0.0000  0.5000

---

# 2
SrRu3Rh: relaxed, GGA-PBE.

Values from the calculation:
Distance to the lowest polymorph of the same formula = 782 kJ/mol of formula units
Total DFT energy (no corrections) = -4.550 eV/atom
Crystal system = cubic
Calculated formation energy = 1361 kJ/mol of formula units

a = 4.7926 Å, b = 4.7926 Å, c = 4.7926 Å
α = 90.00°, β = 90.00°, γ = 90.00°
Fractional positions:
Sr  0.0000  0.0000  0.0000
Ru  0.0000  0.0000  0.5000
Ru  0.0000  0.5000  0.0000
Ru  0.5000  0.0000  0.0000
Rh  0.5000  0.5000  0.5000

---

# 3
Sr2Ru2Rh: relaxed, GGA-PBE.

Values from the calculation:
Total DFT energy (no corrections) = -5.574 eV/atom
Crystal system = tetragonal
Calculated formation energy = 135 kJ/mol of formula units

a = 6.7335 Å, b = 6.7335 Å, c = 4.9507 Å
α = 90.00°, β = 90.00°, γ = 90.00°
Fractional positions:
Sr  0.1833  0.3167  0.0000
Sr  0.3167  0.8167  0.0000
Sr  0.6833  0.1833  0.0000
Sr  0.8167  0.6833  0.0000
Ru  0.1214  0.6214  0.5000
Ru  0.3786  0.1214  0.5000
Ru  0.6214  0.8786  0.5000
Ru  0.8786  0.3786  0.5000
Rh  0.0000  0.0000  0.5000
Rh  0.5000  0.5000  0.5000

---

# 4
SrRuRh2: relaxed, GGA-PBE.

Values from the calculation:
Distance to the lowest polymorph of the same formula = 31 kJ/mol of formula units
Total DFT energy (no corrections) = -6.103 eV/atom
Crystal system = monoclinic
Calculated formation energy = 121 kJ/mol of formula units

a = 4.6992 Å, b = 4.6992 Å, c = 5.9183 Å
α = 98.22°, β = 98.22°, γ = 35.93°
Fractional positions:
Sr  0.0000  0.0000  0.0000
Ru  0.5000  0.5000  0.5000
Rh  0.2391  0.2391  0.6765
Rh  0.7609  0.7609  0.3235

---

# 5
SrRuRh2: relaxed, GGA-PBE.

Values from the calculation:
Distance to the lowest polymorph of the same formula = 68 kJ/mol of formula units
Total DFT energy (no corrections) = -6.008 eV/atom
Crystal system = monoclinic
Calculated formation energy = 157 kJ/mol of formula units

a = 2.8856 Å, b = 4.5089 Å, c = 5.8776 Å
α = 90.00°, β = 101.38°, γ = 90.00°
Fractional positions:
Sr  0.0000  0.0000  0.0000
Ru  0.5000  0.0000  0.5000
Rh  0.3179  0.5000  0.6909
Rh  0.6821  0.5000  0.3091

---

# 6
Sr2RuRh: relaxed, GGA-PBE.

Values from the calculation:
Total DFT energy (no corrections) = -4.314 eV/atom
Crystal system = tetragonal
Calculated formation energy = 264 kJ/mol of formula units

a = 6.5165 Å, b = 6.5165 Å, c = 6.5165 Å
α = 102.56°, β = 102.56°, γ = 124.40°
Fractional positions:
Sr  0.1070  0.6250  0.9820
Sr  0.3750  0.3570  0.4820
Sr  0.6430  0.1250  0.0180
Sr  0.8750  0.8930  0.5180
Ru  0.2500  0.7500  0.5000
Ru  0.5000  0.5000  0.0000
Rh  0.0000  0.0000  0.0000
Rh  0.7500  0.2500  0.5000

---

# 7
SrRuRh: relaxed, GGA-PBE.

Values from the calculation:
Distance to the lowest polymorph of the same formula = 140 kJ/mol of formula units
Total DFT energy (no corrections) = -5.416 eV/atom
Crystal system = cubic
Calculated formation energy = 199 kJ/mol of formula units

a = 4.6041 Å, b = 4.6041 Å, c = 4.6041 Å
α = 60.00°, β = 60.00°, γ = 60.00°
Fractional positions:
Sr  0.0000  0.0000  0.0000
Ru  0.5000  0.5000  0.5000
Rh  0.7500  0.7500  0.7500

---

# 8
SrRuRh2: relaxed, GGA-PBE.

Values from the calculation:
Distance to the lowest polymorph of the same formula = 130 kJ/mol of formula units
Total DFT energy (no corrections) = -5.847 eV/atom
Crystal system = cubic
Calculated formation energy = 219 kJ/mol of formula units

a = 4.6819 Å, b = 4.6819 Å, c = 4.6819 Å
α = 60.00°, β = 60.00°, γ = 60.00°
Fractional positions:
Sr  0.0000  0.0000  0.0000
Ru  0.7500  0.7500  0.7500
Rh  0.2500  0.2500  0.2500
Rh  0.5000  0.5000  0.5000

---

# 9
SrRuRh: relaxed, GGA-PBE.

Values from the calculation:
Distance to the lowest polymorph of the same formula = 12 kJ/mol of formula units
Total DFT energy (no corrections) = -5.858 eV/atom
Crystal system = orthorhombic
Calculated formation energy = 71 kJ/mol of formula units

a = 5.9737 Å, b = 5.9737 Å, c = 5.9737 Å
α = 151.21°, β = 142.32°, γ = 48.10°
Fractional positions:
Sr  0.0000  0.0000  0.0000
Ru  0.2863  0.2863  0.0000
Rh  0.7108  0.7108  0.0000

---

# 10
SrRuRh2: relaxed, GGA-PBE.

Values from the calculation:
Distance to the lowest polymorph of the same formula = 90 kJ/mol of formula units
Total DFT energy (no corrections) = -5.950 eV/atom
Crystal system = orthorhombic
Calculated formation energy = 180 kJ/mol of formula units

a = 5.0694 Å, b = 5.0694 Å, c = 5.0694 Å
α = 135.94°, β = 124.36°, γ = 73.56°
Fractional positions:
Sr  0.0000  0.0000  0.0000
Ru  0.5000  0.5000  0.0000
Rh  0.2775  0.7775  0.5000
Rh  0.7225  0.2225  0.5000

---

# 11
Sr2RuRh: relaxed, GGA-PBE.

Values from the calculation:
Total DFT energy (no corrections) = -4.734 eV/atom
Crystal system = tetragonal
Calculated formation energy = 102 kJ/mol of formula units

a = 3.5661 Å, b = 3.5661 Å, c = 8.8100 Å
α = 90.00°, β = 90.00°, γ = 90.00°
Fractional positions:
Sr  0.0000  0.0000  0.0000
Sr  0.5000  0.5000  0.4228
Ru  0.5000  0.5000  0.7513
Rh  0.0000  0.0000  0.6654

---

# 12
SrRuRh2: relaxed, GGA-PBE.

Values from the calculation:
Distance to the lowest polymorph of the same formula = 72 kJ/mol of formula units
Total DFT energy (no corrections) = -5.996 eV/atom
Crystal system = tetragonal
Calculated formation energy = 162 kJ/mol of formula units

a = 4.9086 Å, b = 4.9086 Å, c = 2.9179 Å
α = 90.00°, β = 90.00°, γ = 90.00°
Fractional positions:
Sr  0.0000  0.0000  0.0000
Ru  0.5000  0.5000  0.0000
Rh  0.0000  0.5000  0.5000
Rh  0.5000  0.0000  0.5000

---

# 13
SrRu3Rh: relaxed, GGA-PBE.

Values from the calculation:
Distance to the lowest polymorph of the same formula = 0 kJ/mol of formula units
Total DFT energy (no corrections) = -6.172 eV/atom
Crystal system = cubic
Calculated formation energy = 579 kJ/mol of formula units

a = 4.7772 Å, b = 4.7772 Å, c = 4.7772 Å
α = 90.00°, β = 90.00°, γ = 90.00°
Fractional positions:
Sr  0.0000  0.0000  0.0000
Ru  0.0000  0.5000  0.5000
Ru  0.5000  0.0000  0.5000
Ru  0.5000  0.5000  0.0000
Rh  0.5000  0.5000  0.5000